TmMgAg2: optimized geometry, PBE.

Cell and atoms, written as POSCAR:
```
TmMgAg2
1.0
3.4702 0.0000 0.0000
0.0000 3.4702 0.0000
0.0000 0.0000 6.9647
Tm Mg Ag
1 1 2
Direct
0.0000 0.0000 0.0000
0.0000 0.0000 0.5000
0.5000 0.5000 0.2670
0.5000 0.5000 0.7330
```

total magnetization	0.000	μB/f.u.
energy of formation	-273.7	meV per atom

TmMg4Ag2: optimized geometry, PBE.

Cell and atoms, written as POSCAR:
```
TmMg4Ag2
1.0
9.4621 0.0000 0.0000
0.0000 9.4621 0.0000
0.0000 0.0000 3.4747
Tm Mg Ag
2 8 4
Direct
0.0000 0.0000 0.0000
0.5000 0.5000 0.5000
0.0778 0.3159 0.5000
0.1841 0.5778 0.0000
0.3159 0.0778 0.5000
0.4222 0.8159 0.0000
0.5778 0.1841 0.0000
0.6841 0.9222 0.5000
0.8159 0.4222 0.0000
0.9222 0.6841 0.5000
0.1871 0.8129 0.5000
0.3129 0.3129 0.0000
0.6871 0.6871 0.0000
0.8129 0.1871 0.5000
```

total magnetization	0.000	μB/f.u.
energy of formation	-165.8	meV per atom

Tm6MgAg: optimized geometry, PBE.

Cell and atoms, written as POSCAR:
```
Tm6MgAg
1.0
4.4181 2.5508 3.2692
-4.4181 2.5508 3.2692
0.0000 -5.1016 3.2692
Tm Mg Ag
6 1 1
Direct
0.0263 0.5476 0.7553
0.2447 0.9737 0.4524
0.4524 0.2447 0.9737
0.5476 0.7553 0.0263
0.7553 0.0262 0.5476
0.9737 0.4524 0.2447
0.5000 0.5000 0.5000
0.0000 0.0000 0.0000
```

total magnetization	0.000	μB/f.u.
energy of formation	38.4	meV per atom

Tm11Mg9Ag4: optimized geometry, PBE.

Cell and atoms, written as POSCAR:
```
Tm11Mg9Ag4
1.0
7.4288 -11.2216 0.0000
7.4288 11.2216 0.0000
0.0000 0.0000 3.6494
Tm Mg Ag
11 9 4
Direct
0.0000 0.0000 0.0000
0.0693 0.4136 0.0000
0.1583 0.8417 0.0000
0.2926 0.2926 0.0000
0.3639 0.6361 0.0000
0.4136 0.0693 0.0000
0.5864 0.9307 0.0000
0.6361 0.3639 0.0000
0.7074 0.7074 0.0000
0.8417 0.1583 0.0000
0.9307 0.5864 0.0000
0.0653 0.2133 0.5000
0.1522 0.6341 0.5000
0.2133 0.0653 0.5000
0.3659 0.8478 0.5000
0.5000 0.5000 0.5000
0.6341 0.1522 0.5000
0.7867 0.9347 0.5000
0.8478 0.3659 0.5000
0.9347 0.7867 0.5000
0.2527 0.4496 0.5000
0.4496 0.2527 0.5000
0.5504 0.7473 0.5000
0.7473 0.5504 0.5000
```

total magnetization	0.001	μB/f.u.
energy of formation	-148.6	meV per atom

TmMgAg: optimized geometry, PBE.

Cell and atoms, written as POSCAR:
```
TmMgAg
1.0
0.0000 3.3899 3.3899
3.3899 0.0000 3.3899
3.3899 3.3899 0.0000
Tm Mg Ag
1 1 1
Direct
0.0000 0.0000 0.0000
0.5000 0.5000 0.5000
0.7500 0.7500 0.7500
```

total magnetization	0.000	μB/f.u.
energy of formation	-63.5	meV per atom

Tm2Mg2Ag: optimized geometry, PBE.

Cell and atoms, written as POSCAR:
```
Tm2Mg2Ag
1.0
-1.7743 1.7743 9.7992
1.7743 -1.7743 9.7992
1.7743 1.7743 -9.7992
Tm Mg Ag
2 2 1
Direct
0.0910 0.0910 0.0000
0.9090 0.9090 0.0000
0.2959 0.2959 0.0000
0.7041 0.7041 0.0000
0.5000 0.5000 0.0000
```

total magnetization	0.000	μB/f.u.
energy of formation	-148.3	meV per atom

Tm2MgAg4: optimized geometry, PBE.

Cell and atoms, written as POSCAR:
```
Tm2MgAg4
1.0
2.3845 1.3767 8.2654
-2.3845 1.3767 8.2654
0.0000 -2.7533 8.2654
Tm Mg Ag
2 1 4
Direct
0.2482 0.2482 0.2482
0.7518 0.7518 0.7518
0.0000 0.0000 0.0000
0.1292 0.1292 0.1292
0.3670 0.3670 0.3670
0.6330 0.6330 0.6330
0.8708 0.8708 0.8708
```

total magnetization	0.000	μB/f.u.
energy of formation	-96.3	meV per atom

Tm5MgAg3: optimized geometry, PBE.

Cell and atoms, written as POSCAR:
```
Tm5MgAg3
1.0
8.9270 0.0000 0.0000
-4.4635 7.7310 0.0000
0.0000 0.0000 6.4827
Tm Mg Ag
10 2 6
Direct
0.0000 0.3192 0.2500
0.0000 0.6808 0.7500
0.3192 0.0000 0.2500
0.3192 0.3192 0.7500
0.3333 0.6667 0.0000
0.3333 0.6667 0.5000
0.6667 0.3333 0.0000
0.6667 0.3333 0.5000
0.6808 0.0000 0.7500
0.6808 0.6808 0.2500
0.0000 0.0000 0.0000
0.0000 0.0000 0.5000
0.0000 0.3509 0.7500
0.0000 0.6491 0.2500
0.3509 0.0000 0.7500
0.3509 0.3509 0.2500
0.6491 0.0000 0.2500
0.6491 0.6491 0.7500
```

total magnetization	0.000	μB/f.u.
energy of formation	-137.9	meV per atom